# Co2AsO3 | the Alexandria database | GGA+U | relaxed
data_Co2AsO3
_chemical_formula_sum 'Co4 As2 O6'
_cell_length_a 5.0195
_cell_length_b 6.4932
_cell_length_c 7.3836
_cell_angle_alpha 131.08
_cell_angle_beta 109.87
_cell_angle_gamma 90.00
_symmetry_space_group_name_H-M 'P 1'
_symmetry_Int_Tables_number 1
loop_
_symmetry_equiv_pos_as_xyz
'x,y,z'
loop_
_atom_site_label
_atom_site_fract_x
_atom_site_fract_y
_atom_site_fract_z
_atom_site_occupancy
Co1 0.7367 0.5312 0.3668 1
Co2 0.6301 0.0312 0.3668 1
Co3 0.3699 0.9688 0.6332 1
Co4 0.2633 0.4688 0.6332 1
As1 0.9766 0.7500 0.0000 1
As2 0.0234 0.2500 0.0000 1
O1 0.3891 0.2500 0.0000 1
O2 0.6109 0.7500 0.0000 1
O3 0.2427 0.0651 0.4185 1
O4 0.8243 0.4349 0.5815 1
O5 0.1757 0.5651 0.4185 1
O6 0.7573 0.9349 0.5815 1
# **Final energy**: -34.8 eV/f.u.